Compound: Mg3AgN
Source: Alexandria
Functional: GGA-PBE
Structure: relaxed

Cell and atoms, written as POSCAR:
```
Mg3AgN
1.0
4.305 0.000 0.000
0.000 4.305 0.000
0.000 0.000 4.305
Mg Ag N
3 1 1
Cartesian
0.000 0.000 2.153
0.000 2.153 0.000
2.153 0.000 0.000
2.153 2.153 2.153
0.000 0.000 0.000
```

- Symmetry: Pm-3m (221)
- E_tot: -17.84 eV per cell
- Formation energy without anion corrections: -182 kJ/mol of formula units

=====

Compound: RbFe2Si
Source: Alexandria
Functional: GGA-PBE
Structure: relaxed

Cell and atoms, written as POSCAR:
```
RbFe2Si
1.0
-2.481 2.481 8.060
2.481 -2.481 8.060
2.481 2.481 -8.060
Rb Fe Si
2 4 2
Cartesian
2.481 1.241 2.015
0.000 1.241 6.045
0.000 0.000 0.000
1.241 1.241 -4.030
1.241 -1.241 4.030
0.000 2.481 0.000
2.481 -1.241 6.045
0.000 3.722 2.015
```

- Symmetry: I4_1/amd (141)
- E_tot: -40.46 eV per cell
- Formation energy without anion corrections: 298 kJ/mol of formula units

=====

Compound: PrNdRu
Source: Alexandria
Functional: GGA-PBE
Structure: relaxed

Cell and atoms, written as POSCAR:
```
PrNdRu
1.0
6.026 -2.100 0.000
6.026 2.100 0.000
-5.230 0.000 6.623
Pr Nd Ru
2 2 2
Cartesian
-0.901 0.000 2.423
7.724 0.000 4.200
-0.988 0.000 6.016
7.811 0.000 0.607
2.475 0.000 2.355
4.348 0.000 4.268
```

- DFT formation energy: -0.137 eV per atom
- Symmetry: C2/m (12)
- E_tot: -38.47 eV per cell
- Energy above the lowest structure with this stoichiometry: 0.0 meV per atom

=====

Compound: ZrHgSe2
Source: Alexandria
Functional: GGA-PBE
Structure: relaxed

Cell and atoms, written as POSCAR:
```
ZrHgSe2
1.0
-4.750 4.750 3.470
4.750 -4.750 3.470
4.750 4.750 -3.470
Zr Hg Se
2 2 4
Cartesian
4.750 0.000 1.735
0.000 4.750 1.735
0.000 0.000 1.735
0.000 0.000 5.205
6.090 1.340 0.000
1.340 3.411 0.000
3.411 1.340 3.470
-1.340 3.411 3.470
```

- Symmetry: I4/mcm (140)
- E_tot: -37.47 eV per cell
- Formation energy without anion corrections: -282 kJ/mol of formula units
- Energy above the lowest structure with this stoichiometry: 261.7 meV per atom

=====

Compound: CuS4I2
Source: Alexandria
Functional: GGA-PBE
Structure: relaxed

Cell and atoms, written as POSCAR:
```
CuS4I2
1.0
4.643 0.000 0.000
-2.107 6.187 0.000
-1.100 -1.513 8.213
Cu S I
1 4 2
Cartesian
0.000 0.000 0.000
-2.305 4.990 3.153
-1.646 4.411 1.425
0.384 0.903 3.232
1.282 1.191 1.536
-1.442 0.434 6.594
-0.158 3.488 6.604
```

- Symmetry: P1 (1)
- E_tot: -23.58 eV per cell
- Formation energy without anion corrections: 12 kJ/mol of formula units

=====

Compound: ReH2S
Source: Alexandria
Functional: GGA-PBE
Structure: relaxed

Cell and atoms, written as POSCAR:
```
ReH2S
1.0
-3.161 3.161 2.215
3.161 -3.161 2.215
3.161 3.161 -2.215
Re H S
2 4 2
Cartesian
0.000 0.000 0.000
0.000 3.161 1.107
4.742 0.812 -0.554
0.812 1.581 0.554
-1.581 2.350 1.661
2.350 1.581 2.768
3.161 0.000 1.107
0.000 0.000 2.215
```

- Symmetry: I-42d (122)
- E_tot: -42.10 eV per cell
- Energy above the lowest structure with this stoichiometry: 0.0 meV per atom

=====

Compound: Tb6Pm19Ho4
Source: Alexandria
Functional: GGA-PBE
Structure: relaxed

Cell and atoms, written as POSCAR:
```
Tb6Pm19Ho4
1.0
-6.310 6.310 6.310
6.310 -6.310 6.310
6.310 6.310 -6.310
Tb Pm Ho
6 19 4
Cartesian
6.310 1.577 0.000
6.310 0.000 4.733
4.733 6.310 0.000
1.577 0.000 6.310
0.000 6.310 1.577
0.000 4.733 6.310
0.000 0.000 0.000
3.264 0.000 0.000
9.356 0.000 0.000
5.526 3.014 -2.757
9.068 -0.784 3.296
3.014 -2.757 5.526
0.000 3.264 0.000
0.000 0.000 3.264
3.553 0.784 3.296
3.296 3.553 0.784
7.094 3.014 2.757
0.784 3.296 3.553
3.296 9.068 -0.784
-2.757 5.526 3.014
0.000 9.356 0.000
0.000 0.000 9.356
3.014 2.757 7.094
2.757 7.094 3.014
-0.784 3.296 9.068
2.274 2.274 -2.274
2.274 -2.274 2.274
-2.274 2.274 2.274
4.036 4.036 4.036
```

- DFT formation energy: 0.360 eV per atom
- Symmetry: I23 (197)
- E_tot: -125.90 eV per cell

=====

Compound: YTc2SnTe
Source: Alexandria
Functional: GGA-PBE
Structure: relaxed

Cell and atoms, written as POSCAR:
```
YTc2SnTe
1.0
4.959 0.000 0.000
0.000 4.959 0.000
0.000 0.000 5.692
Y Tc Sn Te
1 2 1 1
Cartesian
0.000 0.000 0.000
0.000 2.479 2.846
2.479 0.000 2.846
0.000 0.000 2.846
2.479 2.479 0.000
```

- Symmetry: P4/mmm (123)
- E_tot: -28.83 eV per cell
- Formation energy without anion corrections: 532 kJ/mol of formula units

=====

Compound: Mg3Sn3Ir2Ru
Source: Alexandria
Functional: GGA-PBE
Structure: relaxed

Cell and atoms, written as POSCAR:
```
Mg3Sn3Ir2Ru
1.0
7.602 0.000 0.000
-3.801 6.584 0.000
0.000 0.000 3.282
Mg Sn Ir Ru
3 3 2 1
Cartesian
-2.337 4.048 0.000
1.464 2.536 0.000
4.674 0.000 0.000
-1.080 1.871 1.641
2.160 0.000 1.641
2.721 4.713 1.641
0.000 4.389 1.641
3.801 2.195 1.641
0.000 0.000 0.000
```

- DFT formation energy: -0.311 eV per atom
- Symmetry: P-62m (189)
- E_tot: -46.59 eV per cell

=====

> What is the formula in the sixth record?

ReH2S